(1)
The following is a PBE-GGA calculation of an optimized crystal structure of InMoS2Cl, from Alexandria.

Cell: 4.7270 4.7270 5.1038 Å, 90.00 90.00 90.00°
Closest atoms and distances in Å follow each position.
Element x y z (fractional)
In1 0.0000 0.0000 0.0000  4 Cl 3.34, 8 S 3.48
Mo1 0.5000 0.5000 0.5000  4 S 2.36, 2 Cl 2.55
S1 0.0000 0.5000 0.5000  2 Mo 2.36
S2 0.5000 0.0000 0.5000  2 Mo 2.36
Cl1 0.5000 0.5000 0.0000  2 Mo 2.55

Values from the calculation:
Its energy relative to the elements, uncorrected is -0.32 eV/atom. The value obtained for the density is 4.52 g/cm3. As for the total magnetization: 0.0 μB/f.u.

=====

(2)
The following is a PBE-GGA calculation of an optimized crystal structure of InMoS2Cl, from Alexandria.

Cell: 5.0701 5.0701 4.9126 Å, 90.00 90.00 90.00°
Closest atoms and distances in Å follow each position.
Element x y z (fractional)
In1 0.0000 0.0000 0.0000  2 Cl 2.46, 4 S 2.54
Mo1 0.5000 0.5000 0.5000  8 S 3.53, 4 Cl 3.59
S1 0.0000 0.5000 0.0000  2 In 2.54
S2 0.5000 0.0000 0.0000  2 In 2.54
Cl1 0.0000 0.0000 0.5000  2 In 2.46

Values from the calculation:
Its energy relative to the elements, uncorrected is 0.63 eV/atom. The value obtained for the density is 4.08 g/cm3. As for the total magnetization: 3.9 μB/f.u.

=====

(3)
The following is a PBE-GGA calculation of an optimized crystal structure of TiIn2MoCl, from Alexandria.

Cell: 5.1014 5.1014 4.3171 Å, 90.00 90.00 90.00°
Closest atoms and distances in Å follow each position.
Element x y z (fractional)
Ti1 0.0000 0.0000 0.0000  2 Cl 2.16
In1 0.0000 0.5000 0.5000  2 Cl 2.55
In2 0.5000 0.0000 0.5000  2 Cl 2.55
Mo1 0.5000 0.5000 0.0000  8 In 3.34, 4 Ti 3.61
Cl1 0.0000 0.0000 0.5000  2 Ti 2.16

Values from the calculation:
Its energy relative to the elements, uncorrected is 0.96 eV/atom. The value obtained for the density is 6.04 g/cm3. As for the total magnetization: 0.0 μB/f.u.

=====

(4)
The following is a PBE-GGA calculation of an optimized crystal structure of TlInMoCl2, from Alexandria.

Cell: 4.7728 4.7728 5.7552 Å, 90.00 90.00 90.00°
Closest atoms and distances in Å follow each position.
Element x y z (fractional)
Tl1 0.0000 0.0000 0.0000  4 In 3.37, 8 Cl 3.74
In1 0.5000 0.5000 0.0000  2 Mo 2.88
Mo1 0.5000 0.5000 0.5000  4 Cl 2.39
Cl1 0.0000 0.5000 0.5000  2 Mo 2.39
Cl2 0.5000 0.0000 0.5000  2 Mo 2.39

Values from the calculation:
Its energy relative to the elements, uncorrected is -0.04 eV/atom. The value obtained for the density is 6.16 g/cm3. As for the total magnetization: 0.7 μB/f.u.